No. 1
Compound: LiRe2Hg
Source: Alexandria via LeMat-Bulk
Functional: PBE
Structure: optimized geometry

Electronic total energy: -6.146 eV per atom
Crystal system: orthorhombic
Formation energy: 632 meV/atom
Total magnetization: 0.0 μB/f.u.
SG: No. 47

a = 2.722 Å, b = 4.533 Å, c = 5.250 Å
α = 90.00°, β = 90.00°, γ = 90.00°
Element x y z (fractional)
1 Hg 0.500 0.500 0.250
2 Li 0.500 0.500 0.750
3 Re 0.000 0.000 0.972
4 Re 0.000 0.000 0.528


No. 2
Compound: Li3ReHg
Source: Alexandria via LeMat-Bulk
Functional: PBE
Structure: optimized geometry

Electronic total energy: -2.512 eV per atom
Crystal system: cubic
Formation energy: 1186 meV/atom
Total magnetization: 2.3 μB/f.u.
Energy relative to the lowest polymorph listed for this composition: 0.078 eV/atom
SG: No. 221

a = 4.967 Å, b = 4.967 Å, c = 4.967 Å
α = 90.00°, β = 90.00°, γ = 90.00°
Last column: magnetic moment on the atom in μB.
Element x y z (fractional)
1 Re 0.000 0.000 0.000  2.04
2 Hg 0.500 0.500 0.500  -0.01
3 Li 0.000 0.500 0.000  0.00
4 Li 0.000 0.000 0.500  0.00
5 Li 0.500 0.000 0.000  0.00